Entry 1:
The following is a DFT calculation (PBE) of an optimized crystal structure of InW2Br.

Output
formation energy from raw total energies = 1081 meV per atom

CIF file:
```
data_InW2Br
_chemical_formula_sum 'In2 W4 Br2'
_cell_length_a 2.895
_cell_length_b 5.401
_cell_length_c 9.669
_cell_angle_alpha 90.00
_cell_angle_beta 90.00
_cell_angle_gamma 90.00
_space_group_name_H-M_alt 'C m m m'
_space_group_IT_number 65
_space_group_name_Hall '-C 2 2'
loop_
_atom_site_label
_atom_site_type_symbol
_atom_site_fract_x
_atom_site_fract_y
_atom_site_fract_z
_atom_site_occupancy
In1 In 0.000 0.000 0.000 1
W1 W 0.000 0.500 0.257 1
Br1 Br 0.000 0.000 0.500 1
```



Entry 2:
The following is a DFT calculation (PBE) of an optimized crystal structure of Ir4Pb.

Output
energy of formation = 0.382 eV per atom

CIF file:
```
data_Ir4Pb
_chemical_formula_sum 'Ir8 Pb2'
_cell_length_a 6.356
_cell_length_b 6.356
_cell_length_c 4.017
_cell_angle_alpha 90.00
_cell_angle_beta 90.00
_cell_angle_gamma 90.00
_space_group_name_H-M_alt 'I 4/m'
_space_group_IT_number 87
_space_group_name_Hall '-I 4'
loop_
_atom_site_label
_atom_site_type_symbol
_atom_site_fract_x
_atom_site_fract_y
_atom_site_fract_z
_atom_site_occupancy
Ir1 Ir 0.099 0.316 0.000 1
Pb1 Pb 0.000 0.000 0.500 1
```



Entry 3:
The following is a DFT calculation (PBE) of an optimized crystal structure of Be3CdI.

Output
formation energy from raw total energies = 1579 meV per atom

CIF file:
```
data_Be3CdI
_chemical_formula_sum 'Be3 Cd1 I1'
_cell_length_a 4.821
_cell_length_b 4.821
_cell_length_c 4.821
_cell_angle_alpha 90.00
_cell_angle_beta 90.00
_cell_angle_gamma 90.00
_space_group_name_H-M_alt 'P m -3 m'
_space_group_IT_number 221
_space_group_name_Hall '-P 4 2 3'
loop_
_atom_site_label
_atom_site_type_symbol
_atom_site_fract_x
_atom_site_fract_y
_atom_site_fract_z
_atom_site_occupancy
Be1 Be 0.000 0.000 0.500 1
Cd1 Cd 0.500 0.500 0.500 1
I1 I 0.000 0.000 0.000 1
```



Entry 4:
The following is a DFT calculation (PBE) of an optimized crystal structure of LaCdAu6.

Output
energy of formation = -0.323 eV per atom

CIF file:
```
data_LaCdAu6
_chemical_formula_sum 'La1 Cd1 Au6'
_cell_length_a 5.523
_cell_length_b 5.523
_cell_length_c 5.523
_cell_angle_alpha 90.00
_cell_angle_beta 90.00
_cell_angle_gamma 90.00
_space_group_name_H-M_alt 'P m -3'
_space_group_IT_number 200
_space_group_name_Hall '-P 2 2 3'
loop_
_atom_site_label
_atom_site_type_symbol
_atom_site_fract_x
_atom_site_fract_y
_atom_site_fract_z
_atom_site_occupancy
La1 La 0.000 0.000 0.000 1
Cd1 Cd 0.500 0.500 0.500 1
Au1 Au 0.000 0.254 0.500 1
```



Entry 5:
The following is a DFT calculation (PBE) of an optimized crystal structure of Ho2ZrFe9.

Output
energy of formation = -0.092 eV per atom

CIF file:
```
data_Ho2ZrFe9
_chemical_formula_sum 'Ho6 Zr3 Fe27'
_cell_length_a 5.0005
_cell_length_b 5.0005
_cell_length_c 24.2963
_cell_angle_alpha 90.00
_cell_angle_beta 90.00
_cell_angle_gamma 120.00
_space_group_name_H-M_alt 'R -3 m'
_space_group_IT_number 166
_space_group_name_Hall '-R 3 2"'
loop_
_atom_site_label
_atom_site_type_symbol
_atom_site_fract_x
_atom_site_fract_y
_atom_site_fract_z
_atom_site_occupancy
Ho1 Ho 0.0000 0.0000 0.1412 1
Zr1 Zr 0.0000 0.0000 0.0000 1
Fe1 Fe 0.0000 0.0000 0.3328 1
Fe2 Fe 0.0000 0.0000 0.5000 1
Fe3 Fe 0.0001 0.5001 0.0810 1
```



Entry 6:
The following is a DFT calculation (PBE) of an optimized crystal structure of PmPuCd4.

Output
energy of formation = -0.146 eV per atom

CIF file:
```
data_PmPuCd4
_chemical_formula_sum 'Pm4 Pu4 Cd16'
_cell_length_a 8.449
_cell_length_b 8.449
_cell_length_c 8.449
_cell_angle_alpha 90.00
_cell_angle_beta 90.00
_cell_angle_gamma 90.00
_space_group_name_H-M_alt 'F -4 3 m'
_space_group_IT_number 216
_space_group_name_Hall 'F -4 2 3'
loop_
_atom_site_label
_atom_site_type_symbol
_atom_site_fract_x
_atom_site_fract_y
_atom_site_fract_z
_atom_site_occupancy
Pm1 Pm 0.000 0.000 0.000 1
Pu1 Pu 0.250 0.250 0.750 1
Cd1 Cd 0.125 0.125 0.375 1
```



Entry 7:
The following is a DFT calculation (PBE) of an optimized crystal structure of CuP2Ru.

Output
energy of formation = -0.030 eV per atom

CIF file:
```
data_CuP2Ru
_chemical_formula_sum 'Cu2 P4 Ru2'
_cell_length_a 7.540
_cell_length_b 2.992
_cell_length_c 4.812
_cell_angle_alpha 90.00
_cell_angle_beta 98.71
_cell_angle_gamma 90.00
_space_group_name_H-M_alt 'C 1 2/m 1'
_space_group_IT_number 12
_space_group_name_Hall '-C 2y'
loop_
_atom_site_label
_atom_site_type_symbol
_atom_site_fract_x
_atom_site_fract_y
_atom_site_fract_z
_atom_site_occupancy
Cu1 Cu 0.000 0.000 0.000 1
P1 P 0.232 0.000 0.738 1
Ru1 Ru 0.000 0.500 0.500 1
```



Entry 8:
The following is a DFT calculation (PBE) of an optimized crystal structure of ScOs3Pd.

Output
energy of formation = 2.336 eV per atom

CIF file:
```
data_ScOs3Pd
_chemical_formula_sum 'Sc1 Os3 Pd1'
_cell_length_a 4.586
_cell_length_b 4.586
_cell_length_c 4.586
_cell_angle_alpha 90.00
_cell_angle_beta 90.00
_cell_angle_gamma 90.00
_space_group_name_H-M_alt 'P m -3 m'
_space_group_IT_number 221
_space_group_name_Hall '-P 4 2 3'
loop_
_atom_site_label
_atom_site_type_symbol
_atom_site_fract_x
_atom_site_fract_y
_atom_site_fract_z
_atom_site_occupancy
Sc1 Sc 0.000 0.000 0.000 1
Os1 Os 0.000 0.000 0.500 1
Pd1 Pd 0.500 0.500 0.500 1
```



Entry 9:
The following is a DFT calculation (PBE) of an optimized crystal structure of CuNi2Mo.

Output
energy of formation = 0.151 eV per atom

CIF file:
```
data_CuNi2Mo
_chemical_formula_sum 'Cu2 Ni4 Mo2'
_cell_length_a 2.677
_cell_length_b 4.304
_cell_length_c 8.667
_cell_angle_alpha 90.00
_cell_angle_beta 90.00
_cell_angle_gamma 90.00
_space_group_name_H-M_alt 'I m m 2'
_space_group_IT_number 44
_space_group_name_Hall 'I 2 -2'
loop_
_atom_site_label
_atom_site_type_symbol
_atom_site_fract_x
_atom_site_fract_y
_atom_site_fract_z
_atom_site_occupancy
Cu1 Cu 0.000 0.000 0.000 1
Ni1 Ni 0.000 0.000 0.521 1
Ni2 Ni 0.000 0.500 0.255 1
Mo1 Mo 0.000 0.500 0.774 1
```



Entry 10:
The following is a DFT calculation (PBE) of an optimized crystal structure of MnCu2PtCl.

Output
formation energy from raw total energies = 569 meV per atom

CIF file:
```
data_MnCu2PtCl
_chemical_formula_sum 'Mn1 Cu2 Pt1 Cl1'
_cell_length_a 4.760
_cell_length_b 4.760
_cell_length_c 4.931
_cell_angle_alpha 90.00
_cell_angle_beta 90.00
_cell_angle_gamma 90.00
_space_group_name_H-M_alt 'P 4/m m m'
_space_group_IT_number 123
_space_group_name_Hall '-P 4 2'
loop_
_atom_site_label
_atom_site_type_symbol
_atom_site_fract_x
_atom_site_fract_y
_atom_site_fract_z
_atom_site_occupancy
Mn1 Mn 0.000 0.000 0.000 1
Cu1 Cu 0.000 0.500 0.500 1
Pt1 Pt 0.000 0.000 0.500 1
Cl1 Cl 0.500 0.500 0.000 1
```



Entry 11:
The following is a DFT calculation (PBE) of an optimized crystal structure of CaMn2Fe.

Output
energy of formation = 0.556 eV per atom

CIF file:
```
data_CaMn2Fe
_chemical_formula_sum 'Ca1 Mn2 Fe1'
_cell_length_a 2.777
_cell_length_b 4.086
_cell_length_c 6.136
_cell_angle_alpha 90.00
_cell_angle_beta 102.63
_cell_angle_gamma 90.00
_space_group_name_H-M_alt 'P 1 2/m 1'
_space_group_IT_number 10
_space_group_name_Hall '-P 2y'
loop_
_atom_site_label
_atom_site_type_symbol
_atom_site_fract_x
_atom_site_fract_y
_atom_site_fract_z
_atom_site_occupancy
Ca1 Ca 0.000 0.000 0.000 1
Mn1 Mn 0.289 0.500 0.682 1
Fe1 Fe 0.500 0.000 0.500 1
```



Entry 12:
The following is a DFT calculation (PBE) of an optimized crystal structure of SrAl2Te.

Output
formation energy from raw total energies = -285 meV per atom

CIF file:
```
data_SrAl2Te
_chemical_formula_sum 'Sr1 Al2 Te1'
_cell_length_a 3.925
_cell_length_b 3.925
_cell_length_c 6.876
_cell_angle_alpha 90.00
_cell_angle_beta 90.00
_cell_angle_gamma 90.00
_space_group_name_H-M_alt 'P 4 m m'
_space_group_IT_number 99
_space_group_name_Hall 'P 4 -2'
loop_
_atom_site_label
_atom_site_type_symbol
_atom_site_fract_x
_atom_site_fract_y
_atom_site_fract_z
_atom_site_occupancy
Sr1 Sr 0.000 0.000 0.000 1
Al1 Al 0.000 0.000 0.530 1
Al2 Al 0.500 0.500 0.696 1
Te1 Te 0.500 0.500 0.288 1
```



Entry 13:
The following is a DFT calculation (PBE) of an optimized crystal structure of La6TbCo3.

Output
energy of formation = -0.087 eV per atom

CIF file:
```
data_La6TbCo3
_chemical_formula_sum 'La24 Tb4 Co12'
_cell_length_a 11.258
_cell_length_b 13.634
_cell_length_c 7.254
_cell_angle_alpha 90.00
_cell_angle_beta 90.00
_cell_angle_gamma 90.00
_space_group_name_H-M_alt 'C m c 21'
_space_group_IT_number 36
_space_group_name_Hall 'C 2c -2'
loop_
_atom_site_label
_atom_site_type_symbol
_atom_site_fract_x
_atom_site_fract_y
_atom_site_fract_z
_atom_site_occupancy
La1 La 0.000 0.027 0.000 1
La2 La 0.000 0.329 0.883 1
La3 La 0.167 0.454 0.509 1
La4 La 0.225 0.185 0.634 1
Tb1 Tb 0.000 0.223 0.326 1
Co1 Co 0.000 0.409 0.191 1
Co2 Co 0.199 0.105 0.308 1
```



Entry 14:
The following is a DFT calculation (PBE) of an optimized crystal structure of ZnNiHgH2.

CIF file:
```
data_ZnNiHgH2
_chemical_formula_sum 'Zn1 Ni1 Hg1 H2'
_cell_length_a 3.534
_cell_length_b 3.534
_cell_length_c 6.124
_cell_angle_alpha 90.00
_cell_angle_beta 90.00
_cell_angle_gamma 90.00
_space_group_name_H-M_alt 'P 4/m m m'
_space_group_IT_number 123
_space_group_name_Hall '-P 4 2'
loop_
_atom_site_label
_atom_site_type_symbol
_atom_site_fract_x
_atom_site_fract_y
_atom_site_fract_z
_atom_site_occupancy
Zn1 Zn 0.000 0.000 0.000 1
Ni1 Ni 0.500 0.500 0.500 1
Hg1 Hg 0.000 0.000 0.500 1
H1 H 0.000 0.500 0.000 1
```



Entry 15:
The following is a DFT calculation (PBE) of an optimized crystal structure of Li2LaP.

Output
energy of formation = -0.538 eV per atom

CIF file:
```
data_Li2LaP
_chemical_formula_sum 'Li2 La1 P1'
_cell_length_a 4.206
_cell_length_b 4.206
_cell_length_c 5.247
_cell_angle_alpha 90.00
_cell_angle_beta 90.00
_cell_angle_gamma 90.00
_space_group_name_H-M_alt 'P 4/m m m'
_space_group_IT_number 123
_space_group_name_Hall '-P 4 2'
loop_
_atom_site_label
_atom_site_type_symbol
_atom_site_fract_x
_atom_site_fract_y
_atom_site_fract_z
_atom_site_occupancy
Li1 Li 0.000 0.500 0.000 1
La1 La 0.000 0.000 0.500 1
P1 P 0.500 0.500 0.500 1
```



Entry 16:
The following is a DFT calculation (PBE) of an optimized crystal structure of La2MgZr.

Output
energy of formation = 0.104 eV per atom

CIF file:
```
data_La2MgZr
_chemical_formula_sum 'La2 Mg1 Zr1'
_cell_length_a 3.611
_cell_length_b 4.564
_cell_length_c 7.317
_cell_angle_alpha 90.00
_cell_angle_beta 90.00
_cell_angle_gamma 90.00
_space_group_name_H-M_alt 'P m m m'
_space_group_IT_number 47
_space_group_name_Hall '-P 2 2'
loop_
_atom_site_label
_atom_site_type_symbol
_atom_site_fract_x
_atom_site_fract_y
_atom_site_fract_z
_atom_site_occupancy
La1 La 0.000 0.000 0.242 1
Mg1 Mg 0.500 0.500 0.500 1
Zr1 Zr 0.500 0.500 0.000 1
```



Entry 17:
The following is a DFT calculation (PBE) of an optimized crystal structure of CaDyCuPt.

Output
energy of formation = -0.635 eV per atom

CIF file:
```
data_CaDyCuPt
_chemical_formula_sum 'Ca4 Dy4 Cu4 Pt4'
_cell_length_a 6.979
_cell_length_b 6.979
_cell_length_c 6.979
_cell_angle_alpha 90.00
_cell_angle_beta 90.00
_cell_angle_gamma 90.00
_space_group_name_H-M_alt 'F -4 3 m'
_space_group_IT_number 216
_space_group_name_Hall 'F -4 2 3'
loop_
_atom_site_label
_atom_site_type_symbol
_atom_site_fract_x
_atom_site_fract_y
_atom_site_fract_z
_atom_site_occupancy
Ca1 Ca 0.000 0.000 0.000 1
Dy1 Dy 0.000 0.000 0.500 1
Cu1 Cu 0.250 0.250 0.750 1
Pt1 Pt 0.250 0.250 0.250 1
```



Entry 18:
The following is a DFT calculation (PBE) of an optimized crystal structure of Dy4Ga3Ge.

Output
energy of formation = -0.710 eV per atom

CIF file:
```
data_Dy4Ga3Ge
_chemical_formula_sum 'Dy4 Ga3 Ge1'
_cell_length_a 4.014
_cell_length_b 4.354
_cell_length_c 10.836
_cell_angle_alpha 90.00
_cell_angle_beta 90.00
_cell_angle_gamma 90.00
_space_group_name_H-M_alt 'P m m 2'
_space_group_IT_number 25
_space_group_name_Hall 'P 2 -2'
loop_
_atom_site_label
_atom_site_type_symbol
_atom_site_fract_x
_atom_site_fract_y
_atom_site_fract_z
_atom_site_occupancy
Dy1 Dy 0.000 0.000 0.000 1
Dy2 Dy 0.000 0.500 0.499 1
Dy3 Dy 0.500 0.000 0.278 1
Dy4 Dy 0.500 0.500 0.779 1
Ga1 Ga 0.000 0.000 0.718 1
Ga2 Ga 0.000 0.500 0.217 1
Ga3 Ga 0.500 0.000 0.562 1
Ge1 Ge 0.500 0.500 0.059 1
```



Entry 19:
The following is a DFT calculation (PBE) of an optimized crystal structure of ZnAs2Br.

Output
formation energy from raw total energies = 223 meV per atom

CIF file:
```
data_ZnAs2Br
_chemical_formula_sum 'Zn2 As4 Br2'
_cell_length_a 3.206
_cell_length_b 4.593
_cell_length_c 11.405
_cell_angle_alpha 90.00
_cell_angle_beta 90.00
_cell_angle_gamma 90.00
_space_group_name_H-M_alt 'I m m m'
_space_group_IT_number 71
_space_group_name_Hall '-I 2 2'
loop_
_atom_site_label
_atom_site_type_symbol
_atom_site_fract_x
_atom_site_fract_y
_atom_site_fract_z
_atom_site_occupancy
Zn1 Zn 0.000 0.000 0.000 1
As1 As 0.000 0.500 0.297 1
Br1 Br 0.000 0.000 0.500 1
```



Entry 20:
The following is a DFT calculation (PBE) of an optimized crystal structure of YS4.

Output
formation energy from raw total energies = -752 meV per atom

CIF file:
```
data_YS4
_chemical_formula_sum 'Y2 S8'
_cell_length_a 6.941
_cell_length_b 3.994
_cell_length_c 8.817
_cell_angle_alpha 90.00
_cell_angle_beta 97.88
_cell_angle_gamma 90.00
_space_group_name_H-M_alt 'C 1 2/m 1'
_space_group_IT_number 12
_space_group_name_Hall '-C 2y'
loop_
_atom_site_label
_atom_site_type_symbol
_atom_site_fract_x
_atom_site_fract_y
_atom_site_fract_z
_atom_site_occupancy
Y1 Y 0.000 0.000 0.000 1
S1 S 0.121 0.000 0.565 1
S2 S 0.139 0.500 0.832 1
```



| no. | DOS at the Fermi energy (states/eV/f.u.) | magnetic moment (μB/f.u.) | calculated total energy (eV for the cell shown) |
| --- | --- | --- | --- |
| 1 | 4.09 | 0.00 | -51.99 |
| 2 | 3.98 | 0.00 | -74.48 |
| 3 | 4.42 | 0.00 | -5.75 |
| 4 | 2.51 | 0.00 | -28.09 |
| 5 | 11.52 | 16.49 | -284.93 |
| 6 | 13.55 | 5.78 | -94.47 |
| 7 | 2.29 | 0.00 | -48.62 |
| 8 | 9.02 | 1.35 | -33.53 |
| 9 | 3.48 | 0.00 | -51.77 |
| 10 | 1.92 | 4.54 | -22.40 |
| 11 | 4.39 | 8.38 | -26.58 |
| 12 | 3.50 | 0.00 | -13.45 |
| 13 | 10.02 | 0.00 | -225.54 |
| 14 | 2.03 | 0.00 | -11.25 |
| 15 | 1.68 | 0.00 | -16.32 |
| 16 | 5.79 | 0.00 | -19.58 |
| 17 | 2.31 | 0.00 | -77.12 |
| 18 | 6.54 | 0.00 | -37.79 |
| 19 | 1.19 | 0.00 | -22.71 |
| 20 | 2.40 | 0.00 | -53.47 |